No. 1
First-principles (PBE) data for a relaxed structure of SmInSn, as listed in the Alexandria database.

a = 4.6642 Å, b = 16.4230 Å, c = 4.3048 Å
α = 90.00°, β = 90.00°, γ = 90.00°
Atoms (fractional coordinates):
Sm 0.0000 0.0919 0.2500
Sm 0.0000 0.9081 0.7500
Sm 0.5000 0.4081 0.7500
Sm 0.5000 0.5919 0.2500
In 0.0000 0.2573 0.7500
In 0.0000 0.7427 0.2500
In 0.5000 0.2427 0.2500
In 0.5000 0.7573 0.7500
Sn 0.0000 0.4321 0.2500
Sn 0.0000 0.5679 0.7500
Sn 0.5000 0.0679 0.7500
Sn 0.5000 0.9321 0.2500

Results
ΔE_f = -1.6 eV per formula unit
Density of states at the Fermi level = 7.38 states/eV/cell
Relative energy among the computed polymorphs = 0 meV/atom
Density = 7.7 g/cm3
Total energy = -4.35 eV/atom

No. 2
First-principles (PBE) data for a relaxed structure of Sm6In5Sn, as listed in the Alexandria database.

a = 8.5823 Å, b = 8.5823 Å, c = 7.6304 Å
α = 90.02°, β = 90.02°, γ = 143.13°
Atoms (fractional coordinates):
Sm 0.0000 0.0000 0.2462
Sm 0.0000 0.0000 0.7538
Sm 0.3350 0.6650 0.2515
Sm 0.3350 0.6650 0.7485
Sm 0.6650 0.3350 0.2515
Sm 0.6650 0.3350 0.7485
In 0.1665 0.8335 0.5000
In 0.1716 0.8284 0.0000
In 0.5000 0.5000 0.5000
In 0.8284 0.1716 0.0000
In 0.8335 0.1665 0.5000
Sn 0.5000 0.5000 0.0000

Results
ΔE_f = -6.1 eV per formula unit
Density of states at the Fermi level = 5.02 states/eV/cell
Density = 7.9 g/cm3
Total energy = -4.35 eV/atom

No. 3
First-principles (PBE) data for a relaxed structure of SmIn3Sn, as listed in the Alexandria database.

a = 5.1994 Å, b = 7.3539 Å, c = 7.2685 Å
α = 90.00°, β = 90.00°, γ = 90.00°
Atoms (fractional coordinates):
Sm 0.2500 0.2500 0.2180
Sm 0.7500 0.7500 0.7820
In 0.2500 0.0524 0.7421
In 0.2500 0.4476 0.7421
In 0.2500 0.7500 0.4670
In 0.7500 0.2500 0.5330
In 0.7500 0.5524 0.2579
In 0.7500 0.9476 0.2579
Sn 0.2500 0.7500 0.0652
Sn 0.7500 0.2500 0.9348

Results
ΔE_f = -0.8 eV per formula unit
Density of states at the Fermi level = 5.05 states/eV/cell
Density = 7.3 g/cm3
Total energy = -3.54 eV/atom

No. 4
First-principles (PBE) data for a relaxed structure of SmInSn3, as listed in the Alexandria database.

a = 13.3388 Å, b = 6.3432 Å, c = 6.4477 Å
α = 90.00°, β = 90.00°, γ = 90.00°
Atoms (fractional coordinates):
Sm 0.1897 0.0092 0.2500
Sm 0.1897 0.4908 0.7500
Sm 0.8103 0.5092 0.2500
Sm 0.8103 0.9908 0.7500
In 0.3828 0.2500 0.0000
In 0.3828 0.2500 0.5000
In 0.6172 0.7500 0.0000
In 0.6172 0.7500 0.5000
Sn 0.0006 0.2500 0.0000
Sn 0.0006 0.2500 0.5000
Sn 0.2132 0.5129 0.2500
Sn 0.2132 0.9871 0.7500
Sn 0.4159 0.7129 0.7500
Sn 0.4159 0.7871 0.2500
Sn 0.5841 0.2129 0.7500
Sn 0.5841 0.2871 0.2500
Sn 0.7868 0.0129 0.2500
Sn 0.7868 0.4871 0.7500
Sn 0.9994 0.7500 0.0000
Sn 0.9994 0.7500 0.5000

Results
ΔE_f = -1.6 eV per formula unit
Density of states at the Fermi level = 9.47 states/eV/cell
Density = 7.6 g/cm3
Total energy = -4.21 eV/atom

No. 5
First-principles (PBE) data for a relaxed structure of SmInSn2, as listed in the Alexandria database.

a = 4.0243 Å, b = 4.0243 Å, c = 6.7058 Å
α = 90.00°, β = 90.00°, γ = 90.00°
Atoms (fractional coordinates):
Sm 0.0000 0.0000 0.0000
In 0.0000 0.0000 0.5000
Sn 0.5000 0.5000 0.2680
Sn 0.5000 0.5000 0.7320

Results
ΔE_f = -1.4 eV per formula unit
Density of states at the Fermi level = 3.10 states/eV/cell
Density = 7.7 g/cm3
Total energy = -4.22 eV/atom

No. 6
First-principles (PBE) data for a relaxed structure of Sm3In2Sn2, as listed in the Alexandria database.

a = 4.4253 Å, b = 4.5197 Å, c = 20.2871 Å
α = 90.00°, β = 90.00°, γ = 90.00°
Atoms (fractional coordinates):
Sm 0.0000 0.0000 0.0000
Sm 0.0000 0.5000 0.3144
Sm 0.0000 0.5000 0.6856
Sm 0.5000 0.0000 0.1856
Sm 0.5000 0.0000 0.8144
Sm 0.5000 0.5000 0.5000
In 0.0000 0.0000 0.4326
In 0.0000 0.0000 0.5674
In 0.5000 0.5000 0.0674
In 0.5000 0.5000 0.9326
Sn 0.0000 0.5000 0.1572
Sn 0.0000 0.5000 0.8428
Sn 0.5000 0.0000 0.3428
Sn 0.5000 0.0000 0.6572

Results
ΔE_f = -4.0 eV per formula unit
Density of states at the Fermi level = 9.97 states/eV/cell
Density = 7.5 g/cm3
Total energy = -4.52 eV/atom